# 1
Below is RbLi2Pa2Se6 after structural relaxation, with properties calculated at the GGA-PBE level.

Cell: 7.4228 10.1992 6.9798 Å, 133.30 90.10 68.59°
With the nearest neighbours (Å) after each atom.
Fractional coordinates of all 11 atoms:
Se: 0.9040 0.9996 0.2549  2 Pa 2.83, 2 Li 2.87-2.88
Pa: 0.1666 0.6666 0.1667  6 Se 2.83
Li: 0.1662 0.6672 0.6674  6 Se 2.87-2.88
Se: 0.4998 0.5955 0.8509  2 Pa 2.83, 2 Li 2.87-2.88
Se: 0.0956 0.4038 0.6592  2 Pa 2.83, 2 Li 2.87-2.88
Li: 0.8338 0.3328 0.3326  6 Se 2.87-2.88
Pa: 0.8334 0.3334 0.8333  6 Se 2.83
Rb: 0.5000 0.0000 0.5000  6 Se 3.45
Se: 0.9044 0.5962 0.3408  2 Pa 2.83, 2 Li 2.87-2.88
Se: 0.0960 0.0004 0.7451  2 Pa 2.83, 2 Li 2.87-2.88
Se: 0.5002 0.4045 0.1491  2 Pa 2.83, 2 Li 2.87-2.88

Properties
Theoretical density (g/cm³): 5.16
Symmetry: P-1, No. 2
E_form (uncorrected) (eV per formula unit): -14.392
Raw total energy (eV per atom): -5.371



# 2
Below is RbLiPaSe4 after structural relaxation, with properties calculated at the GGA-PBE level.

Cell: 7.2517 5.7508 9.8881 Å, 90.00 108.12 90.00°
With the nearest neighbours (Å) after each atom.
Fractional coordinates of all 14 atoms:
Se: 0.5669 0.2500 0.4236  1 Li 2.47
Se: 0.5232 0.2500 0.8232  1 Li 2.43, 1 Pa 2.70
Se: 0.9808 0.0108 0.3115  1 Li 2.49, 1 Se 2.75
Li: 0.2574 0.7500 0.3188  4 Se 2.43-2.49
Pa: 0.2676 0.2500 0.5582  6 Se 2.70-3.00
Se: 0.9808 0.4892 0.3115  1 Li 2.49, 1 Se 2.75
Se: 0.4768 0.7500 0.1768  1 Li 2.43, 1 Pa 2.70
Li: 0.7426 0.2500 0.6812  4 Se 2.43-2.49
Pa: 0.7324 0.7500 0.4418  6 Se 2.70-3.00
Rb: 0.2534 0.2500 0.0485  6 Se 3.35-3.75
Rb: 0.7466 0.7500 0.9515  6 Se 3.35-3.75
Se: 0.4331 0.7500 0.5764  1 Li 2.47
Se: 0.0192 0.5108 0.6885  1 Li 2.49, 1 Se 2.75
Se: 0.0192 0.9892 0.6885  1 Li 2.49, 1 Se 2.75

Properties
Theoretical density (g/cm³): 5.42
Symmetry: P2_1/m, No. 11
E_form (uncorrected) (eV per formula unit): -8.575
Raw total energy (eV per atom): -4.984



# 3
Below is RbLi2PaSe4 after structural relaxation, with properties calculated at the GGA-PBE level.

Cell: 7.3277 6.8333 6.8333 Å, 64.84 57.57 57.57°
With the nearest neighbours (Å) after each atom.
Fractional coordinates of all 8 atoms:
Rb: 0.0000 0.0000 0.0000  8 Se 3.40-3.61
Li: 0.7499 0.7501 0.7500  4 Se 2.71
Li: 0.2501 0.2500 0.2499  4 Se 2.71
Se: 0.8845 0.5330 0.1155  1 Pa 2.67, 2 Li 2.71
Se: 0.4670 0.1155 0.5330  1 Pa 2.67, 2 Li 2.71
Se: 0.5330 0.4670 0.8845  1 Pa 2.67, 2 Li 2.71
Pa: 0.5000 0.5000 0.5000  4 Se 2.67
Se: 0.1155 0.8845 0.4670  1 Pa 2.67, 2 Li 2.71

Properties
Theoretical density (g/cm³): 4.49
Symmetry: I-42m, No. 121
E_form (uncorrected) (eV per formula unit): -9.130
Raw total energy (eV per atom): -4.670



# 4
Below is Rb2Li2PaSe4 after structural relaxation, with properties calculated at the GGA-PBE level.

Cell: 4.3181 8.0688 8.1375 Å, 108.91 105.39 90.00°
With the nearest neighbours (Å) after each atom.
Fractional coordinates of all 9 atoms:
Li: 0.3188 0.0128 0.6377  4 Se 2.56-2.64
Se: 0.1932 0.1637 0.3865  3 Li 2.56-2.64
Pa: 0.0000 0.0000 0.0000  6 Se 2.87-2.91
Se: 0.8068 0.8363 0.6135  3 Li 2.56-2.64
Se: 0.4833 0.2284 0.9666  1 Li 2.58
Li: 0.6812 0.9872 0.3623  4 Se 2.56-2.64
Rb: 0.8614 0.4354 0.7228  7 Se 3.54-3.68, 3 Li 3.77-3.90
Rb: 0.1386 0.5646 0.2772  7 Se 3.54-3.68, 3 Li 3.77-3.90
Se: 0.5167 0.7716 0.0334  1 Li 2.58

Properties
Theoretical density (g/cm³): 4.72
Symmetry: C2/m, No. 12
E_form (uncorrected) (eV per formula unit): -12.164
Raw total energy (eV per atom): -4.596



# 5
Below is Rb3LiPa3Se8 after structural relaxation, with properties calculated at the GGA-PBE level.

Cell: 8.4101 8.4089 9.4555 Å, 116.39 90.00 120.00°
With the nearest neighbours (Å) after each atom.
Fractional coordinates of all 15 atoms:
Se: 0.7198 0.9547 0.6896  2 Pa 2.84, 1 Li 2.94
Pa: 0.0000 0.5000 0.5000  6 Se 2.84-2.92
Se: 0.7331 0.4663 0.6994  3 Pa 2.92
Se: 0.7651 0.0453 0.3104  2 Pa 2.84, 1 Li 2.94
Se: 0.2349 0.9547 0.6896  2 Pa 2.84, 1 Li 2.94
Rb: 0.0000 0.0000 0.0000  6 Se 3.44-3.52
Pa: 0.5000 0.5000 0.5000  6 Se 2.84-2.92
Se: 0.7653 0.5306 0.3106  2 Pa 2.84, 1 Li 2.93
Pa: 0.5000 0.0000 0.5000  6 Se 2.84-2.92
Li: 0.0000 0.0000 0.5000  6 Se 2.93-2.94
Se: 0.2802 0.0453 0.3104  2 Pa 2.84, 1 Li 2.94
Rb: 0.5000 0.5000 0.0000  6 Se 3.44-3.52
Rb: 0.0000 0.5000 0.0000  6 Se 3.44-3.52
Se: 0.2347 0.4694 0.6894  2 Pa 2.84, 1 Li 2.93
Se: 0.2669 0.5337 0.3006  3 Pa 2.92

Properties
Theoretical density (g/cm³): 5.31
Symmetry: R-3m, No. 166
E_form (uncorrected) (eV per formula unit): -20.194
Raw total energy (eV per atom): -5.425



# 6
Below is RbLi3Pa2Se6 after structural relaxation, with properties calculated at the GGA-PBE level.

Cell: 4.1727 9.9903 8.6198 Å, 98.34 104.01 90.00°
With the nearest neighbours (Å) after each atom.
Fractional coordinates of all 12 atoms:
Se: 0.0037 0.2874 0.0073  1 Li 2.56, 1 Pa 2.71
Se: 0.3391 0.4515 0.6783  3 Li 2.66, 3 Pa 2.91-2.94
Se: 0.6609 0.5485 0.3217  3 Li 2.66, 3 Pa 2.91-2.94
Li: 0.1495 0.7106 0.2990  4 Se 2.56-2.66
Se: 0.9963 0.7126 0.9927  1 Li 2.56, 1 Pa 2.71
Pa: 0.8325 0.6573 0.6649  6 Se 2.71-2.94
Li: 0.5000 0.5000 0.0000  2 Se 2.66
Rb: 0.5000 0.0000 0.0000  6 Se 3.52-3.54
Se: 0.7006 0.1678 0.4012  1 Li 2.62, 2 Pa 2.83
Se: 0.2994 0.8322 0.5988  1 Li 2.62, 2 Pa 2.83
Li: 0.8505 0.2894 0.7010  4 Se 2.56-2.66
Pa: 0.1675 0.3427 0.3351  6 Se 2.71-2.94

Properties
Theoretical density (g/cm³): 5.02
Symmetry: C2/m, No. 12
E_form (uncorrected) (eV per formula unit): -15.515
Raw total energy (eV per atom): -5.177



# 7
Below is Rb2LiPa2Se6 after structural relaxation, with properties calculated at the GGA-PBE level.

Cell: 7.2897 7.2897 8.4526 Å, 97.67 97.67 120.54°
With the nearest neighbours (Å) after each atom.
Fractional coordinates of all 11 atoms:
Pa: 0.3344 0.6656 0.5000  6 Se 2.82-2.83
Se: 0.9419 0.5907 0.3100  2 Pa 2.82-2.83, 1 Li 2.99
Rb: 0.1599 0.8401 0.0000  6 Se 3.48-3.52
Se: 0.0581 0.4093 0.6900  2 Pa 2.82-2.83, 1 Li 2.99
Pa: 0.6656 0.3344 0.5000  6 Se 2.82-2.83
Rb: 0.8401 0.1599 0.0000  6 Se 3.48-3.52
Se: 0.7145 0.7145 0.6879  2 Pa 2.83, 1 Li 2.92
Se: 0.5907 0.9419 0.3100  2 Pa 2.82-2.83, 1 Li 2.99
Se: 0.2855 0.2855 0.3121  2 Pa 2.83, 1 Li 2.92
Se: 0.4093 0.0581 0.6900  2 Pa 2.82-2.83, 1 Li 2.99
Li: 0.0000 0.0000 0.5000  6 Se 2.92-2.99

Properties
Theoretical density (g/cm³): 4.96
Symmetry: C2/m, No. 12
E_form (uncorrected) (eV per formula unit): -15.251
Raw total energy (eV per atom): -5.364



# 8
Below is RbLi3Pa4Se12 after structural relaxation, with properties calculated at the GGA-PBE level.

Cell: 9.0359 9.0359 9.0359 Å, 109.47 109.47 109.47°
With the nearest neighbours (Å) after each atom.
Fractional coordinates of all 20 atoms:
Se: 0.6919 0.8202 0.5122  1 Li 2.74, 2 Pa 2.78
Se: 0.3081 0.1798 0.4878  1 Li 2.74, 2 Pa 2.78
Pa: 0.0000 0.5000 0.0000  6 Se 2.78
Se: 0.1283 0.3081 0.8202  1 Li 2.74, 2 Pa 2.78
Li: 0.0000 0.5000 0.5000  4 Se 2.74
Se: 0.6919 0.1798 0.8717  1 Li 2.74, 2 Pa 2.78
Rb: 0.0000 0.0000 0.0000  12 Se 3.72
Pa: 0.5000 0.5000 0.5000  6 Se 2.78
Se: 0.5122 0.6919 0.8202  1 Li 2.74, 2 Pa 2.78
Se: 0.3081 0.8202 0.1283  1 Li 2.74, 2 Pa 2.78
Se: 0.4878 0.3081 0.1798  1 Li 2.74, 2 Pa 2.78
Pa: 0.0000 0.0000 0.5000  6 Se 2.78
Se: 0.8717 0.6919 0.1798  1 Li 2.74, 2 Pa 2.78
Pa: 0.5000 0.0000 0.0000  6 Se 2.78
Se: 0.8202 0.1283 0.3081  1 Li 2.74, 2 Pa 2.78
Li: 0.5000 0.0000 0.5000  4 Se 2.74
Se: 0.8202 0.5122 0.6919  1 Li 2.74, 2 Pa 2.78
Li: 0.5000 0.5000 0.0000  4 Se 2.74
Se: 0.1798 0.8717 0.6919  1 Li 2.74, 2 Pa 2.78
Se: 0.1798 0.4878 0.3081  1 Li 2.74, 2 Pa 2.78

Properties
Theoretical density (g/cm³): 5.78
Symmetry: Im-3, No. 204
E_form (uncorrected) (eV per formula unit): -25.509
Raw total energy (eV per atom): -5.601



# 9
Below is Rb2LiPaSe4 after structural relaxation, with properties calculated at the GGA-PBE level.

Cell: 4.3449 7.1822 8.2533 Å, 107.18 90.00 90.00°
With the nearest neighbours (Å) after each atom.
Fractional coordinates of all 8 atoms:
Se: 0.0000 0.2484 0.8095  1 Pa 2.70, 2 Li 2.96
Se: 0.0000 0.7516 0.1905  1 Pa 2.70, 2 Li 2.96
Rb: 0.5000 0.0000 0.5000  6 Se 3.40-3.43
Se: 0.5000 0.7777 0.8107  2 Pa 2.87, 1 Li 2.87
Se: 0.5000 0.2223 0.1893  2 Pa 2.87, 1 Li 2.87
Rb: 0.0000 0.5000 0.5000  6 Se 3.50-3.54
Li: 0.5000 0.5000 0.0000  6 Se 2.87-2.96
Pa: 0.0000 0.0000 0.0000  6 Se 2.70-2.87

Properties
Theoretical density (g/cm³): 4.89
Symmetry: P2/m, No. 10
E_form (uncorrected) (eV per formula unit): -10.566
Raw total energy (eV per atom): -4.731



# 10
Below is Rb4LiPa3Te8 after structural relaxation, with properties calculated at the GGA-PBE level.

Cell: 9.0594 10.0495 9.0608 Å, 116.80 119.99 90.00°
With the nearest neighbours (Å) after each atom.
Fractional coordinates of all 16 atoms:
Rb: 0.0000 0.0000 0.0000  6 Te 3.65-3.69
Te: 0.7345 0.7036 0.4691  3 Pa 3.15
Rb: 0.0000 0.0000 0.5000  6 Te 3.65-3.69
Li: 0.0000 0.5000 0.0000  6 Te 3.14
Pa: 0.5000 0.5000 0.0000  6 Te 3.11-3.15
Te: 0.7657 0.3024 0.0367  2 Pa 3.11, 1 Li 3.14
Te: 0.2711 0.3024 0.0367  2 Pa 3.11, 1 Li 3.14
Te: 0.2345 0.6977 0.4690  2 Pa 3.11, 1 Li 3.14
Rb: 0.5000 0.0000 0.0000  6 Te 3.66
Pa: 0.0000 0.5000 0.5000  6 Te 3.11-3.15
Te: 0.7655 0.3023 0.5310  2 Pa 3.11, 1 Li 3.14
Te: 0.2343 0.6976 0.9633  2 Pa 3.11, 1 Li 3.14
Pa: 0.5000 0.5000 0.5000  6 Te 3.11-3.15
Te: 0.2655 0.2964 0.5309  3 Pa 3.15
Rb: 0.5000 0.0000 0.5000  6 Te 3.65-3.69
Te: 0.7289 0.6976 0.9633  2 Pa 3.11, 1 Li 3.14

Properties
Theoretical density (g/cm³): 5.62
Symmetry: R-3m, No. 166
E_form (uncorrected) (eV per formula unit): -15.419
Raw total energy (eV per atom): -4.677